(1)
A plane-wave DFT calculation with PBE was carried out for a relaxed Ca2Ga3Cu4 crystal.

Cell: 5.5941 7.2511 8.2471 Å, 90.00 109.83 90.00°
Element x y z (fractional)
Cu  0.8315  0.0019  0.6630
Cu  0.3231  0.2500  0.1462
Cu  0.8231  0.2500  0.1462
Cu  0.3315  0.4981  0.6630
Cu  0.1685  0.9981  0.3370
Cu  0.6685  0.5019  0.3370
Cu  0.1769  0.7500  0.8538
Cu  0.6769  0.7500  0.8538
Ca  0.3985  0.1004  0.7971
Ca  0.1015  0.6004  0.2029
Ca  0.6015  0.8996  0.2029
Ca  0.8985  0.3996  0.7971
Ga  0.5122  0.7500  0.5243
Ga  0.5000  0.5000  0.0000
Ga  0.0122  0.7500  0.5243
Ga  0.9878  0.2500  0.4757
Ga  0.4878  0.2500  0.4757
Ga  0.0000  0.0000  0.0000

Calculated values
- ΔH_f (0 K): -0.263 eV per atom
- SG: Cmce
- Raw total energy: -3.538 eV/atom
- Crystal system: orthorhombic

(2)
A plane-wave DFT calculation with PBE was carried out for a relaxed CaGa3Cu crystal.

Cell: 5.5432 5.5432 5.5432 Å, 90.00 90.00 90.00°
Element x y z (fractional)
Ga  0.5000  0.0000  0.0000
Ga  0.0000  0.5000  0.0000
Ga  0.0000  0.0000  0.5000
Cu  0.5000  0.5000  0.5000
Ca  0.0000  0.0000  0.0000

Calculated values
- ΔH_f (0 K): 1.085 eV per atom
- SG: Pm-3m
- Raw total energy: -1.951 eV/atom
- Crystal system: cubic

(3)
A plane-wave DFT calculation with PBE was carried out for a relaxed CaGaCu3 crystal.

Cell: 5.1931 5.1931 5.1931 Å, 90.00 90.00 90.00°
Element x y z (fractional)
Ca  0.0000  0.0000  0.0000
Cu  0.0000  0.5000  0.0000
Cu  0.0000  0.0000  0.5000
Cu  0.5000  0.0000  0.0000
Ga  0.5000  0.5000  0.5000

Calculated values
- ΔH_f (0 K): 1.123 eV per atom
- SG: Pm-3m
- Raw total energy: -2.341 eV/atom
- Crystal system: cubic

(4)
A plane-wave DFT calculation with PBE was carried out for a relaxed CaGa2Cu2 crystal.

Cell: 7.6425 7.6425 2.9272 Å, 90.00 90.00 90.00°
Element x y z (fractional)
Cu  0.6655  0.8345  0.5000
Cu  0.8345  0.3345  0.5000
Cu  0.3345  0.1655  0.5000
Cu  0.1655  0.6655  0.5000
Ca  0.5000  0.5000  0.0000
Ca  0.0000  0.0000  0.0000
Ga  0.1283  0.3717  0.0000
Ga  0.8717  0.6283  0.0000
Ga  0.3717  0.8717  0.0000
Ga  0.6283  0.1283  0.0000

Calculated values
- ΔH_f (0 K): -0.095 eV per atom
- SG: P4/mbm
- Raw total energy: -3.345 eV/atom
- Crystal system: tetragonal

(5)
A plane-wave DFT calculation with PBE was carried out for a relaxed Ca3Ga3Cu2 crystal.

Cell: 5.7996 7.9941 15.1291 Å, 90.00 90.00 90.00°
Element x y z (fractional)
Ga  0.6158  0.3197  0.4602
Ga  0.8842  0.8197  0.4602
Ga  0.3978  0.6626  0.2500
Ga  0.8978  0.8374  0.7500
Ga  0.3842  0.6803  0.9602
Ga  0.3842  0.6803  0.5398
Ga  0.6158  0.3197  0.0398
Ga  0.6022  0.3374  0.7500
Ga  0.1022  0.1626  0.2500
Ga  0.1158  0.1803  0.5398
Ga  0.1158  0.1803  0.9602
Ga  0.8842  0.8197  0.0398
Ca  0.1224  0.4602  0.1081
Ca  0.3776  0.9602  0.3919
Ca  0.8776  0.5398  0.6081
Ca  0.1165  0.1857  0.7500
Ca  0.3776  0.9602  0.1081
Ca  0.6224  0.0398  0.6081
Ca  0.6224  0.0398  0.8919
Ca  0.8835  0.8143  0.2500
Ca  0.6165  0.3143  0.2500
Ca  0.3835  0.6857  0.7500
Ca  0.8776  0.5398  0.8919
Ca  0.1224  0.4602  0.3919
Cu  0.1111  0.8910  0.6031
Cu  0.6111  0.6090  0.3969
Cu  0.6111  0.6090  0.1031
Cu  0.3889  0.3910  0.6031
Cu  0.8889  0.1090  0.3969
Cu  0.1111  0.8910  0.8969
Cu  0.3889  0.3910  0.8969
Cu  0.8889  0.1090  0.1031

Calculated values
- ΔH_f (0 K): -0.362 eV per atom
- Offset from the most stable computed form: 0.016 eV per atom
- SG: Pnma
- Raw total energy: -3.271 eV/atom
- Crystal system: orthorhombic

(6)
A plane-wave DFT calculation with PBE was carried out for a relaxed CaGa7Cu5 crystal.

Cell: 5.1907 6.7490 6.7490 Å, 82.59 67.38 67.38°
Element x y z (fractional)
Ga  0.6476  0.3524  0.3524
Ga  0.5086  0.7882  0.1946
Ga  0.5086  0.1946  0.7882
Ga  0.9909  0.3551  0.6631
Ga  0.9909  0.6631  0.3551
Ga  0.3458  0.6542  0.6542
Ga  0.2701  0.2299  0.2299
Cu  0.0044  0.9990  0.4972
Cu  0.4994  0.9990  0.4972
Cu  0.0044  0.4972  0.9990
Cu  0.4994  0.4972  0.9990
Cu  0.7293  0.7707  0.7707
Ca  0.0006  0.9994  0.9994

Calculated values
- ΔH_f (0 K): -0.219 eV per atom
- SG: Imm2
- Raw total energy: -3.578 eV/atom
- Crystal system: orthorhombic

(7)
A plane-wave DFT calculation with PBE was carried out for a relaxed Ca3Ga2Cu3 crystal.

Cell: 4.4364 5.7353 14.4230 Å, 90.00 90.00 112.75°
Element x y z (fractional)
Ga  0.7951  0.5901  0.5936
Ga  0.7951  0.5901  0.9064
Ga  0.2049  0.4099  0.4064
Ga  0.2049  0.4099  0.0936
Cu  0.6906  0.3812  0.7500
Cu  0.3094  0.6188  0.2500
Cu  0.6158  0.2315  0.0369
Cu  0.3842  0.7685  0.9631
Cu  0.6158  0.2315  0.4631
Cu  0.3842  0.7685  0.5369
Ca  0.9091  0.8183  0.3937
Ca  0.0909  0.1817  0.6063
Ca  0.3858  0.7716  0.7500
Ca  0.6142  0.2284  0.2500
Ca  0.0909  0.1817  0.8937
Ca  0.9091  0.8183  0.1063

Calculated values
- ΔH_f (0 K): -0.291 eV per atom
- SG: Cmcm
- Raw total energy: -3.335 eV/atom
- Crystal system: orthorhombic

(8)
A plane-wave DFT calculation with PBE was carried out for a relaxed CaGa4Cu6 crystal.

Cell: 4.0472 6.9622 6.9622 Å, 120.00 90.00 90.00°
Element x y z (fractional)
Cu  0.0000  0.5404  0.0808
Cu  0.5000  0.2100  0.4201
Cu  0.5000  0.5799  0.7900
Cu  0.0000  0.9192  0.4596
Cu  0.5000  0.2100  0.7900
Cu  0.0000  0.5404  0.4596
Ga  0.5000  0.8047  0.6095
Ga  0.0000  0.3333  0.6667
Ga  0.5000  0.3905  0.1953
Ga  0.5000  0.8047  0.1953
Ca  0.0000  0.0000  0.0000

Calculated values
- ΔH_f (0 K): -0.178 eV per atom
- SG: P-6m2
- Raw total energy: -3.695 eV/atom
- Crystal system: hexagonal

These records have magnetic moment values of 0.0, 0.0, 0.0, 0.0, 0.0, 0.0, 0.0, 0.0 Bohr magnetons per cell, in the order they appear.